Computed, not measured: a relaxed BaSbPt2 crystal at the GGA-PBE level of DFT.

Cell and atoms, written as CIF:
```
data_BaSbPt2
_symmetry_space_group_name_H-M 'I -4 m 2'
_symmetry_Int_Tables_number 119
_symmetry_space_group_name_Hall 'I -4 -2'
_cell_length_a 4.3675
_cell_length_b 4.3675
_cell_length_c 10.0388
_cell_angle_alpha 90.00
_cell_angle_beta 90.00
_cell_angle_gamma 90.00
loop_
_atom_site_label
_atom_site_type_symbol
_atom_site_fract_x
_atom_site_fract_y
_atom_site_fract_z
_atom_site_occupancy
Ba1 Ba 0.0000 0.0000 0.0000 1
Sb1 Sb 0.0000 0.5000 0.2500 1
Pt1 Pt 0.0000 0.0000 0.5000 1
Pt2 Pt 0.0000 0.5000 0.7500 1
```

Computed properties:
- V (Å³/cell) = 191.49
- uncorrected formation energy (meV per atom) = -140.9